Computed, not measured: a relaxed structure of Sn2HgP at the PBE-GGA level of DFT.

**Energy above the lowest structure with this stoichiometry**: 0.12 eV per formula unit
**Formation energy from the elements**: 0.038 eV per atom
**Fermi-level density of states**: 1.7 states/eV per cell
**Raw total energy**: -3.39 eV/atom

abc: 3.8530 3.8530 8.2132
angles: 76.43 76.43 60.00
Last column: nearest neighbours and their distance in Å.
Positions (direct):
Hg1 0.4986 0.4986 0.5042  6 Sn 3.17-3.21
Sn1 0.0700 0.0700 0.7900  3 P 2.75
Sn2 0.2630 0.2630 0.2111  3 P 2.81
P1 0.6684 0.6684 0.9947  6 Sn 2.75-2.81